1.
A geometry-optimized Tb12Er3Sb5 structure. Source: Alexandria via LeMat-Bulk, functional PBE.

Unit cell a=18.3194 b=18.3194 c=18.3194 alpha=90.00 beta=90.00 gamma=90.00
Space group Ia-3d (No. 230)
Unique sites:
Tb: 0.0242 0.0747 0.6472 (multiplicity 96)
Er: 0.0000 0.2500 0.1250 (multiplicity 24)
Sb: 0.0000 0.0000 0.0000 (multiplicity 16)
Sb: 0.0000 0.2500 0.3750 (multiplicity 24)

Computed properties:
Calculated volume ... 38.43 Å³/atom
Uncorrected formation energy ... 0.100 eV per atom
ρ ... 6.520 Mg/m³
Uncorrected energy ... -702.95 eV/cell

=====

2.
A geometry-optimized TbEr5Sb6 structure. Source: Alexandria via LeMat-Bulk, functional PBE.

Unit cell a=7.5536 b=13.0822 c=7.5513 alpha=90.00 beta=109.48 gamma=90.00
Space group C2/m (No. 12)
Unique sites:
Tb: 0.0000 0.0000 0.0000 (multiplicity 2)
Er: 0.0000 0.1657 0.5000 (multiplicity 4)
Er: 0.0000 0.3329 0.0000 (multiplicity 4)
Er: 0.0000 0.5000 0.5000 (multiplicity 2)
Sb: 0.2484 0.3324 0.7485 (multiplicity 8)
Sb: 0.2480 0.5000 0.2504 (multiplicity 4)

Computed properties:
Calculated volume ... 29.31 Å³/atom
Uncorrected formation energy ... -1.103 eV per atom
ρ ... 8.147 Mg/m³
Uncorrected energy ... -130.83 eV/cell